Density functional theory data (PBE) for a relaxed K2Ca2Ga crystal.

Properties
Space-group type: P4/mbm
E_tot (eV/cell): -17.69
Energy of formation from the pure elements (eV/atom): 0.076
Calculated volume (Å³/atom): 46.3
M_tot (μB/cell): 0.0
Calculated density (kg/m3): 1636

a = 8.119 Å, b = 8.119 Å, c = 7.026 Å
α = 90.00°, β = 90.00°, γ = 90.00°
Positions (direct):
1 K 0.681 0.819 0.500
2 K 0.819 0.319 0.500
3 K 0.319 0.181 0.500
4 K 0.181 0.681 0.500
5 Ca 0.669 0.169 0.000
6 Ca 0.831 0.669 0.000
7 Ca 0.169 0.331 0.000
8 Ca 0.331 0.831 0.000
9 Ga 0.500 0.500 0.000
10 Ga 0.000 0.000 0.000